Entry from Alexandria via LeMat-Bulk: crystalline TbY2F8 at its relaxed geometry (GGA-PBE).

Properties
Space-group type: C2/m (12)
E_form (uncorrected): -3.782 eV per atom
Uncorrected energy: -6.739 eV per atom

Lattice parameters (Å, degrees): 6.224 6.224 4.312 101.44 101.44 111.74
Atoms (fractional coordinates):
Tb: 0.000 0.000 0.000
Y: 0.317 0.683 0.500
Y: 0.683 0.317 0.500
F: 0.060 0.312 0.532
F: 0.242 0.758 0.000
F: 0.312 0.060 0.532
F: 0.368 0.368 0.185
F: 0.632 0.632 0.815
F: 0.688 0.940 0.468
F: 0.758 0.242 0.000
F: 0.940 0.688 0.468